KMnRe2 | PBE | relaxed

a b c (Å): 3.0582 3.0582 8.9156
angles (deg): 90.00 90.00 90.00
Fractional positions:
K: 0.0000 0.0000 0.4882
Mn: 0.5000 0.5000 0.8274
Re: 0.0000 0.0000 0.0135
Re: 0.5000 0.5000 0.1708

* calculated volume: 83.4 Å³/cell
* total moment: 4.70 Bohr magnetons per cell
* space group: P4mm (99)
* formation energy from the elements: 0.764 eV per atom

LiDy2Ga3Ni4 | PBE | relaxed

a b c (Å): 3.8093 3.8093 11.1382
angles (deg): 90.00 90.00 90.00
Fractional positions:
Li: 0.5000 0.5000 0.5000
Dy: 0.5000 0.0000 0.2563
Dy: 0.0000 0.5000 0.7437
Ga: 0.0000 0.0000 0.5000
Ga: 0.5000 0.0000 0.8695
Ga: 0.0000 0.5000 0.1305
Ni: 0.5000 0.5000 0.0000
Ni: 0.0000 0.0000 0.0000
Ni: 0.5000 0.0000 0.6507
Ni: 0.0000 0.5000 0.3493

* calculated volume: 161.6 Å³/cell
* total moment: 0.00 Bohr magnetons per cell
* space group: P-4m2 (115)
* formation energy from the elements: -0.484 eV per atom

Ta2BeNb | PBE | relaxed

a b c (Å): 3.5597 4.2750 4.2750
angles (deg): 90.00 90.00 90.00
Fractional positions:
Be: 0.5000 0.5000 0.5000
Nb: 0.5000 0.0000 0.0000
Ta: 0.0000 0.0000 0.5000
Ta: 0.0000 0.5000 0.0000

* calculated volume: 65.1 Å³/cell
* total moment: 0.00 Bohr magnetons per cell
* space group: P4/mmm (123)
* formation energy from the elements: 0.081 eV per atom

LiCrAg2 | PBE | relaxed

a b c (Å): 2.7137 2.7137 8.2784
angles (deg): 90.00 90.00 90.18
Fractional positions:
Ag: 0.0000 0.0000 0.0007
Ag: 0.0000 0.0000 0.4993
Cr: 0.5000 0.5000 0.2500
Li: 0.5000 0.5000 0.7500

* calculated volume: 61.0 Å³/cell
* total moment: 0.37 Bohr magnetons per cell
* space group: Cmmm (65)
* formation energy from the elements: 0.349 eV per atom